# PmAlMoO6

A relaxed structure of PmAlMoO6 (PBE+U, Alexandria via LeMat-Bulk).

Computed properties:
Calculated volume: 12.64 Å³/atom
Space group: No. 149
E_tot: -68.1 eV for the cell shown

a = 5.094 Å, b = 5.094 Å, c = 5.063 Å
α = 90.00°, β = 90.00°, γ = 60.00°
Element x y z (fractional)
O (0.630, 0.373, 0.711)
O (0.996, 0.630, 0.711)
O (0.996, 0.373, 0.289)
O (0.373, 0.996, 0.711)
O (0.630, 0.996, 0.289)
O (0.373, 0.630, 0.289)
Al (0.667, 0.667, 0.500)
Pm (0.000, 0.000, 0.000)
Mo (0.333, 0.333, 0.500)